(1)
Entry from Alexandria: a relaxed structure of LiTlSi (GGA-PBE).

Cell and atoms, written as CIF:
```
data_LiTlSi
_chemical_formula_sum 'Li2 Tl2 Si2'
_cell_length_a 4.591
_cell_length_b 4.591
_cell_length_c 6.647
_cell_angle_alpha 90.00
_cell_angle_beta 90.00
_cell_angle_gamma 90.00
_symmetry_space_group_name_H-M 'P 1'
_symmetry_Int_Tables_number 1
loop_
_symmetry_equiv_pos_as_xyz
'x,y,z'
loop_
_atom_site_label
_atom_site_type_symbol
_atom_site_fract_x
_atom_site_fract_y
_atom_site_fract_z
Si1 Si 0.500 0.000 0.236
Si2 Si 0.000 0.500 0.764
Tl1 Tl 0.000 0.000 0.500
Tl2 Tl 0.500 0.500 0.500
Li1 Li 0.000 0.500 0.157
Li2 Li 0.500 0.000 0.843
```

Values from the calculation:
**Symmetry**: P4/nmm
**Formation energy (no corrections)**: 261 meV per atom
**V**: 140.1 Å³ per cell
**Fermi-level density of states**: 0.361 states/eV per atom

(2)
Entry from Alexandria: a relaxed structure of CaZrTa (GGA-PBE).

Cell and atoms, written as CIF:
```
data_CaZrTa
_chemical_formula_sum 'Ca1 Zr1 Ta1'
_cell_length_a 8.285
_cell_length_b 8.137
_cell_length_c 3.088
_cell_angle_alpha 81.87
_cell_angle_beta 76.48
_cell_angle_gamma 21.65
_symmetry_space_group_name_H-M 'P 1'
_symmetry_Int_Tables_number 1
loop_
_symmetry_equiv_pos_as_xyz
'x,y,z'
loop_
_atom_site_label
_atom_site_type_symbol
_atom_site_fract_x
_atom_site_fract_y
_atom_site_fract_z
Ca1 Ca 0.009 0.009 0.991
Zr1 Zr 0.313 0.313 0.687
Ta1 Ta 0.678 0.678 0.322
```

Values from the calculation:
**Energy of formation from the pure elements**: 0.4208 eV/atom
**Symmetry**: Fmm2
**V**: 73.0 Å³ per cell
**Fermi-level density of states**: 1.141 states/eV per atom

(3)
Entry from Alexandria: a relaxed structure of Ho5Ag2Hg2 (GGA-PBE).

Cell and atoms, written as CIF:
```
data_Ho5Ag2Hg2
_chemical_formula_sum 'Ho10 Ag4 Hg4'
_cell_length_a 7.544
_cell_length_b 7.481
_cell_length_c 9.212
_cell_angle_alpha 113.96
_cell_angle_beta 90.00
_cell_angle_gamma 90.00
_symmetry_space_group_name_H-M 'P 1'
_symmetry_Int_Tables_number 1
loop_
_symmetry_equiv_pos_as_xyz
'x,y,z'
loop_
_atom_site_label
_atom_site_type_symbol
_atom_site_fract_x
_atom_site_fract_y
_atom_site_fract_z
Ho1 Ho 0.328 0.685 0.725
Ho2 Ho 0.828 0.815 0.275
Ho3 Ho 0.000 0.000 0.000
Ho4 Ho 0.328 0.960 0.275
Ho5 Ho 0.672 0.040 0.725
Ho6 Ho 0.172 0.460 0.275
Ho7 Ho 0.672 0.315 0.275
Ho8 Ho 0.172 0.185 0.725
Ho9 Ho 0.500 0.500 0.000
Ho10 Ho 0.828 0.540 0.725
Ag1 Ag 0.869 0.372 0.000
Ag2 Ag 0.369 0.128 0.000
Ag3 Ag 0.631 0.872 0.000
Ag4 Ag 0.131 0.628 0.000
Hg1 Hg 0.500 0.283 0.567
Hg2 Hg 0.000 0.783 0.567
Hg3 Hg 0.000 0.217 0.433
Hg4 Hg 0.500 0.717 0.433
```

Values from the calculation:
**Energy of formation from the pure elements**: -0.2981 eV/atom
**Symmetry**: Cmce
**V**: 475.0 Å³ per cell
**Fermi-level density of states**: 1.020 states/eV per atom

(4)
Entry from Alexandria: a relaxed structure of Cd6NiPd5 (GGA-PBE).

Cell and atoms, written as CIF:
```
data_Cd6NiPd5
_chemical_formula_sum 'Cd6 Ni1 Pd5'
_cell_length_a 4.607
_cell_length_b 6.512
_cell_length_c 7.296
_cell_angle_alpha 90.00
_cell_angle_beta 71.59
_cell_angle_gamma 90.00
_symmetry_space_group_name_H-M 'P 1'
_symmetry_Int_Tables_number 1
loop_
_symmetry_equiv_pos_as_xyz
'x,y,z'
loop_
_atom_site_label
_atom_site_type_symbol
_atom_site_fract_x
_atom_site_fract_y
_atom_site_fract_z
Pd1 Pd 0.668 0.000 0.665
Pd2 Pd 0.332 0.500 0.336
Pd3 Pd 0.332 0.000 0.335
Pd4 Pd 0.000 0.500 0.000
Pd5 Pd 0.668 0.500 0.664
Cd1 Cd 0.836 0.753 0.327
Cd2 Cd 0.164 0.247 0.673
Cd3 Cd 0.500 0.756 0.000
Cd4 Cd 0.836 0.247 0.327
Cd5 Cd 0.164 0.753 0.673
Cd6 Cd 0.500 0.244 0.000
Ni1 Ni 0.000 0.000 0.000
```

Values from the calculation:
**Energy of formation from the pure elements**: -0.3104 eV/atom
**Symmetry**: Cmmm
**V**: 207.7 Å³ per cell
**Fermi-level density of states**: 0.403 states/eV per atom

(5)
Entry from Alexandria: a relaxed structure of Mg2AgSnH (GGA-PBE).

Cell and atoms, written as CIF:
```
data_Mg2AgSnH
_chemical_formula_sum 'Mg2 Ag1 Sn1 H1'
_cell_length_a 4.583
_cell_length_b 4.583
_cell_length_c 4.110
_cell_angle_alpha 90.00
_cell_angle_beta 90.00
_cell_angle_gamma 90.00
_symmetry_space_group_name_H-M 'P 1'
_symmetry_Int_Tables_number 1
loop_
_symmetry_equiv_pos_as_xyz
'x,y,z'
loop_
_atom_site_label
_atom_site_type_symbol
_atom_site_fract_x
_atom_site_fract_y
_atom_site_fract_z
Ag1 Ag 0.000 0.000 0.500
Mg1 Mg 0.500 0.000 0.000
Mg2 Mg 0.000 0.500 0.000
Sn1 Sn 0.500 0.500 0.500
H1 H 0.000 0.000 0.000
```

Values from the calculation:
**Symmetry**: P4/mmm
**Energy**: -13.54 eV/cell
**V**: 86.3 Å³ per cell
**Fermi-level density of states**: 0.269 states/eV per atom

(6)
Entry from Alexandria: a relaxed structure of PrDyZnPb (GGA-PBE).

Cell and atoms, written as CIF:
```
data_PrDyZnPb
_chemical_formula_sum 'Pr1 Dy1 Zn1 Pb1'
_cell_length_a 5.346
_cell_length_b 5.346
_cell_length_c 5.346
_cell_angle_alpha 60.00
_cell_angle_beta 60.00
_cell_angle_gamma 60.00
_symmetry_space_group_name_H-M 'P 1'
_symmetry_Int_Tables_number 1
loop_
_symmetry_equiv_pos_as_xyz
'x,y,z'
loop_
_atom_site_label
_atom_site_type_symbol
_atom_site_fract_x
_atom_site_fract_y
_atom_site_fract_z
Zn1 Zn 0.000 0.000 0.000
Pr1 Pr 0.250 0.250 0.250
Dy1 Dy 0.750 0.750 0.750
Pb1 Pb 0.500 0.500 0.500
```

Values from the calculation:
**Energy of formation from the pure elements**: -0.3814 eV/atom
**Symmetry**: F-43m
**V**: 108.0 Å³ per cell
**Fermi-level density of states**: 0.836 states/eV per atom

(7)
Entry from Alexandria: a relaxed structure of La3ZnPd12 (GGA-PBE).

Cell and atoms, written as CIF:
```
data_La3ZnPd12
_chemical_formula_sum 'La3 Zn1 Pd12'
_cell_length_a 4.212
_cell_length_b 4.212
_cell_length_c 16.196
_cell_angle_alpha 90.00
_cell_angle_beta 90.00
_cell_angle_gamma 90.00
_symmetry_space_group_name_H-M 'P 1'
_symmetry_Int_Tables_number 1
loop_
_symmetry_equiv_pos_as_xyz
'x,y,z'
loop_
_atom_site_label
_atom_site_type_symbol
_atom_site_fract_x
_atom_site_fract_y
_atom_site_fract_z
Pd1 Pd 0.500 0.500 0.500
Pd2 Pd 0.500 0.500 0.000
Pd3 Pd 0.000 0.500 0.370
Pd4 Pd 0.000 0.500 0.107
Pd5 Pd 0.500 0.000 0.370
Pd6 Pd 0.500 0.500 0.239
Pd7 Pd 0.000 0.500 0.893
Pd8 Pd 0.500 0.500 0.761
Pd9 Pd 0.500 0.000 0.107
Pd10 Pd 0.000 0.500 0.630
Pd11 Pd 0.500 0.000 0.893
Pd12 Pd 0.500 0.000 0.630
La1 La 0.000 0.000 0.764
La2 La 0.000 0.000 0.236
La3 La 0.000 0.000 0.500
Zn1 Zn 0.000 0.000 0.000
```

Values from the calculation:
**Energy of formation from the pure elements**: -0.6613 eV/atom
**Symmetry**: P4/mmm
**V**: 287.4 Å³ per cell
**Fermi-level density of states**: 0.840 states/eV per atom

(8)
Entry from Alexandria: a relaxed structure of LaTc2H (GGA-PBE).

Cell and atoms, written as CIF:
```
data_LaTc2H
_chemical_formula_sum 'La2 Tc4 H2'
_cell_length_a 5.407
_cell_length_b 5.407
_cell_length_c 5.907
_cell_angle_alpha 62.76
_cell_angle_beta 62.76
_cell_angle_gamma 90.00
_symmetry_space_group_name_H-M 'P 1'
_symmetry_Int_Tables_number 1
loop_
_symmetry_equiv_pos_as_xyz
'x,y,z'
loop_
_atom_site_label
_atom_site_type_symbol
_atom_site_fract_x
_atom_site_fract_y
_atom_site_fract_z
H1 H 0.250 0.750 0.500
H2 H 0.500 0.500 0.000
Tc1 Tc 0.375 0.625 0.250
Tc2 Tc 0.875 0.625 0.750
Tc3 Tc 0.375 0.625 0.750
Tc4 Tc 0.375 0.125 0.250
La1 La 0.000 0.000 0.000
La2 La 0.750 0.250 0.500
```

Values from the calculation:
**Symmetry**: I4_1/amd
**Energy**: -56.97 eV/cell
**V**: 131.6 Å³ per cell
**Fermi-level density of states**: 1.152 states/eV per atom

- Which of these has the highest V?
  Ho5Ag2Hg2

- The lowest V belongs to which entry?
  CaZrTa

- Look up the Fermi-level density of states of the third one.
  1.020 states/eV per atom